First-principles (PBE) data for a relaxed HgRhW crystal, as listed in the Alexandria database.

Lattice parameters (Å, degrees): 2.893 2.893 7.066 90.00 90.00 120.00
Atoms (fractional coordinates):
Hg  0.000  0.000  0.000
Rh  0.333  0.667  0.350
W  0.667  0.333  0.638

Properties
symmetry	No. 156
excess energy over the best structure of this formula in the dataset	49	meV per atom

First-principles (PBE) data for a relaxed HgRh2W crystal, as listed in the Alexandria database.

Lattice parameters (Å, degrees): 9.421 9.421 9.421 17.36 17.36 17.36
Atoms (fractional coordinates):
Hg  0.000  0.000  0.000
Rh  0.499  0.499  0.499
Rh  0.751  0.751  0.751
W  0.241  0.241  0.241

Properties
symmetry	No. 160
raw total energy	-0.248	Ha/atom

First-principles (PBE) data for a relaxed HgRh2W crystal, as listed in the Alexandria database.

Lattice parameters (Å, degrees): 4.148 4.148 3.727 90.00 90.00 90.00
Atoms (fractional coordinates):
Hg  0.000  0.000  0.000
Rh  0.000  0.500  0.500
Rh  0.500  0.000  0.500
W  0.500  0.500  0.000

Properties
symmetry	No. 123
raw total energy	-0.243	Ha/atom

First-principles (PBE) data for a relaxed HgRh2W crystal, as listed in the Alexandria database.

Lattice parameters (Å, degrees): 2.786 2.786 9.416 90.00 90.00 115.35
Atoms (fractional coordinates):
Hg  0.000  0.000  0.000
Rh  0.000  0.000  0.496
Rh  0.500  0.500  0.252
W  0.500  0.500  0.722

Properties
symmetry	No. 35
raw total energy	-0.242	Ha/atom

First-principles (PBE) data for a relaxed HgRhW crystal, as listed in the Alexandria database.

Lattice parameters (Å, degrees): 6.456 6.456 6.456 154.27 154.27 36.71
Atoms (fractional coordinates):
Hg  0.000  0.000  0.000
Rh  0.322  0.322  0.000
W  0.683  0.683  0.000

Properties
symmetry	No. 107
excess energy over the best structure of this formula in the dataset	0	meV per atom

First-principles (PBE) data for a relaxed HgRh2W crystal, as listed in the Alexandria database.

Lattice parameters (Å, degrees): 4.897 2.825 5.099 90.00 114.26 90.00
Atoms (fractional coordinates):
Hg  0.000  0.000  0.000
Rh  0.500  0.000  0.500
Rh  0.500  0.500  0.000
W  0.000  0.500  0.500

Properties
symmetry	No. 10
raw total energy	-0.244	Ha/atom

First-principles (PBE) data for a relaxed HgRhW crystal, as listed in the Alexandria database.

Lattice parameters (Å, degrees): 4.399 4.399 4.399 60.00 60.00 60.00
Atoms (fractional coordinates):
Hg  0.000  0.000  0.000
Rh  0.500  0.500  0.500
W  0.750  0.750  0.750

Properties
symmetry	No. 216
excess energy over the best structure of this formula in the dataset	733	meV per atom

First-principles (PBE) data for a relaxed HgRh2W crystal, as listed in the Alexandria database.

Lattice parameters (Å, degrees): 2.836 4.127 5.551 90.00 90.00 90.00
Atoms (fractional coordinates):
Hg  0.000  0.000  0.000
Rh  0.000  0.000  0.506
Rh  0.500  0.500  0.245
W  0.500  0.500  0.693

Properties
symmetry	No. 25
raw total energy	-0.249	Ha/atom

First-principles (PBE) data for a relaxed HgRh2W crystal, as listed in the Alexandria database.

Lattice parameters (Å, degrees): 4.783 4.783 4.783 129.56 129.56 74.12
Atoms (fractional coordinates):
Hg  0.000  0.000  0.000
Rh  0.250  0.750  0.500
Rh  0.750  0.250  0.500
W  0.500  0.500  0.000

Properties
symmetry	No. 139
raw total energy	-0.251	Ha/atom

First-principles (PBE) data for a relaxed HgRh2W crystal, as listed in the Alexandria database.

Lattice parameters (Å, degrees): 2.863 3.715 6.091 90.00 90.00 90.00
Atoms (fractional coordinates):
Hg  0.000  0.000  0.000
Rh  0.500  0.500  0.276
Rh  0.500  0.500  0.724
W  0.000  0.000  0.500

Properties
symmetry	No. 47
raw total energy	-0.256	Ha/atom

First-principles (PBE) data for a relaxed HgRh2W2 crystal, as listed in the Alexandria database.

Lattice parameters (Å, degrees): 7.806 7.806 2.784 90.00 90.00 90.00
Atoms (fractional coordinates):
Hg  0.000  0.000  0.000
Hg  0.500  0.500  0.000
Rh  0.169  0.331  0.500
Rh  0.331  0.831  0.500
Rh  0.669  0.169  0.500
Rh  0.831  0.669  0.500
W  0.118  0.618  0.000
W  0.382  0.118  0.000
W  0.618  0.882  0.000
W  0.882  0.382  0.000

Properties
symmetry	No. 127
excess energy over the best structure of this formula in the dataset	5	meV per atom

First-principles (PBE) data for a relaxed HgRh2W2 crystal, as listed in the Alexandria database.

Lattice parameters (Å, degrees): 7.724 7.724 2.789 90.00 90.00 90.00
Atoms (fractional coordinates):
Hg  0.000  0.000  0.000
Hg  0.500  0.500  0.000
Rh  0.127  0.373  0.000
Rh  0.373  0.873  0.000
Rh  0.627  0.127  0.000
Rh  0.873  0.627  0.000
W  0.165  0.665  0.500
W  0.335  0.165  0.500
W  0.665  0.835  0.500
W  0.835  0.335  0.500

Properties
symmetry	No. 127
excess energy over the best structure of this formula in the dataset	0	meV per atom

The DOS(E_F) results, record by record, are as follows: 2.8 3.6 5.8 3.6 1.6 3.9 3.6 3.4 2.1 3.2 2.5 2.9 states/eV/f.u..